A relaxed structure of Hf2InPd6, computed with GGA-PBE.

a = 14.321 Å, b = 7.511 Å, c = 3.093 Å
α = 90.00°, β = 101.89°, γ = 90.00°
Space group C2/m (No. 12)
Symmetry-distinct sites (fractional):
Hf (0.163, 0.000, 0.161) (multiplicity 4)
In (0.000, 0.500, 0.500) (multiplicity 2)
Pd (0.000, 0.192, 0.000) (multiplicity 4)
Pd (0.169, 0.302, 0.667) (multiplicity 8)

A relaxed structure of Hf2InPd2, computed with GGA-PBE.

a = 7.545 Å, b = 7.545 Å, c = 3.380 Å
α = 90.00°, β = 90.00°, γ = 90.00°
Space group P4/mbm (No. 127)
Symmetry-distinct sites (fractional):
Hf (0.166, 0.334, 0.000) (multiplicity 4)
In (0.000, 0.000, 0.500) (multiplicity 2)
Pd (0.130, 0.630, 0.500) (multiplicity 4)

A relaxed structure of HfIn2Pd4, computed with GGA-PBE.

a = 4.810 Å, b = 4.810 Å, c = 11.600 Å
α = 90.00°, β = 90.00°, γ = 90.00°
Space group I4/mmm (No. 139)
Symmetry-distinct sites (fractional):
Hf (0.000, 0.000, 0.000) (multiplicity 2)
In (0.000, 0.000, 0.270) (multiplicity 4)
Pd (0.000, 0.500, 0.122) (multiplicity 8)

A relaxed structure of Hf2InPd8, computed with GGA-PBE.

a = 14.455 Å, b = 4.069 Å, c = 6.522 Å
α = 90.00°, β = 106.25°, γ = 90.00°
Space group C2/m (No. 12)
Symmetry-distinct sites (fractional):
Hf (0.218, 0.000, 0.166) (multiplicity 4)
In (0.000, 0.500, 0.500) (multiplicity 2)
Pd (0.041, 0.000, 0.226) (multiplicity 4)
Pd (0.097, 0.500, 0.958) (multiplicity 4)
Pd (0.149, 0.000, 0.705) (multiplicity 4)
Pd (0.178, 0.500, 0.413) (multiplicity 4)

A relaxed structure of HfIn2Pd8, computed with GGA-PBE.

a = 14.422 Å, b = 4.115 Å, c = 6.449 Å
α = 90.00°, β = 107.25°, γ = 90.00°
Space group C2/m (No. 12)
Symmetry-distinct sites (fractional):
Hf (0.000, 0.000, 0.000) (multiplicity 2)
In (0.219, 0.500, 0.654) (multiplicity 4)
Pd (0.039, 0.500, 0.727) (multiplicity 4)
Pd (0.093, 0.000, 0.450) (multiplicity 4)
Pd (0.137, 0.500, 0.180) (multiplicity 4)
Pd (0.177, 0.000, 0.915) (multiplicity 4)

A relaxed structure of HfIn2Pd3, computed with GGA-PBE.

a = 4.717 Å, b = 14.136 Å, c = 6.563 Å
α = 90.00°, β = 90.00°, γ = 90.00°
Space group Cmmm (No. 65)
Symmetry-distinct sites (fractional):
Hf (0.000, 0.161, 0.000) (multiplicity 4)
In (0.000, 0.169, 0.500) (multiplicity 4)
In (0.000, 0.500, 0.000) (multiplicity 2)
In (0.000, 0.500, 0.500) (multiplicity 2)
Pd (0.000, 0.000, 0.254) (multiplicity 4)
Pd (0.000, 0.325, 0.228) (multiplicity 8)

A relaxed structure of HfInPd, computed with GGA-PBE.

a = 4.6723 Å, b = 4.6723 Å, c = 3.0641 Å
α = 90.00°, β = 90.00°, γ = 120.00°
Space group P3m1 (No. 156)
Symmetry-distinct sites (fractional):
Hf (0.0000, 0.0000, 0.0000) (multiplicity 1)
In (0.6667, 0.3333, 0.4979) (multiplicity 1)
Pd (0.3333, 0.6667, 0.5062) (multiplicity 1)

A relaxed structure of Hf2InPd2, computed with GGA-PBE.

a = 4.534 Å, b = 4.534 Å, c = 10.655 Å
α = 90.00°, β = 90.00°, γ = 90.00°
Space group I4/mmm (No. 139)
Symmetry-distinct sites (fractional):
Hf (0.000, 0.500, 0.250) (multiplicity 4)
In (0.000, 0.000, 0.000) (multiplicity 2)
Pd (0.000, 0.000, 0.380) (multiplicity 4)

A relaxed structure of HfInPd5, computed with GGA-PBE.

a = 4.646 Å, b = 4.646 Å, c = 5.885 Å
α = 90.00°, β = 90.00°, γ = 90.00°
Space group P4/mmm (No. 123)
Symmetry-distinct sites (fractional):
Hf (0.000, 0.000, 0.000) (multiplicity 1)
In (0.500, 0.500, 0.500) (multiplicity 1)
Pd (0.000, 0.000, 0.500) (multiplicity 1)
Pd (0.000, 0.500, 0.240) (multiplicity 4)

A relaxed structure of HfInPd, computed with GGA-PBE.

a = 7.953 Å, b = 4.767 Å, c = 7.441 Å
α = 90.00°, β = 118.08°, γ = 90.00°
Space group Cm (No. 8)
Symmetry-distinct sites (fractional):
Hf (0.000, 0.000, 0.000) (multiplicity 2)
Hf (0.100, 0.000, 0.508) (multiplicity 2)
In (0.034, 0.500, 0.739) (multiplicity 2)
In (0.435, 0.000, 0.227) (multiplicity 2)
Pd (0.245, 0.500, 0.157) (multiplicity 2)
Pd (0.304, 0.500, 0.591) (multiplicity 2)

A relaxed structure of SrHfIn2Pd, computed with GGA-PBE.

a = 5.721 Å, b = 5.721 Å, c = 5.399 Å
α = 90.00°, β = 90.00°, γ = 90.00°
Space group P4/mmm (No. 123)
Symmetry-distinct sites (fractional):
Sr (0.000, 0.000, 0.000) (multiplicity 1)
Hf (0.000, 0.000, 0.500) (multiplicity 1)
In (0.000, 0.500, 0.000) (multiplicity 2)
Pd (0.500, 0.500, 0.500) (multiplicity 1)

A relaxed structure of HfTiInPd, computed with GGA-PBE.

a = 3.081 Å, b = 3.081 Å, c = 7.898 Å
α = 90.00°, β = 90.00°, γ = 90.00°
Space group P4mm (No. 99)
Symmetry-distinct sites (fractional):
Hf (0.000, 0.000, 0.000) (multiplicity 1)
Ti (0.000, 0.000, 0.548) (multiplicity 1)
In (0.500, 0.500, 0.287) (multiplicity 1)
Pd (0.500, 0.500, 0.761) (multiplicity 1)

Number 1: D(E_F) 8.82 states/eV/cell, DFT total energy -6.4705 eV/atom, M_tot 0.00 μB per cell. Number 2: D(E_F) 4.92 states/eV/cell, DFT total energy -7.2440 eV/atom, M_tot 0.00 μB per cell. Number 3: D(E_F) 7.32 states/eV/cell, DFT total energy -5.5810 eV/atom, M_tot 0.00 μB per cell. Number 4: D(E_F) 10.23 states/eV/cell, DFT total energy -6.4760 eV/atom, M_tot 0.00 μB per cell. Number 5: D(E_F) 10.68 states/eV/cell, DFT total energy -5.7365 eV/atom, M_tot 0.00 μB per cell. Number 6: D(E_F) 8.96 states/eV/cell, DFT total energy -5.7807 eV/atom, M_tot 0.00 μB per cell. Number 7: D(E_F) 2.45 states/eV/cell, DFT total energy -6.3789 eV/atom, M_tot 0.00 μB per cell. Number 8: D(E_F) 6.07 states/eV/cell, DFT total energy -6.9072 eV/atom, M_tot 0.00 μB per cell. Number 9: D(E_F) 2.59 states/eV/cell, DFT total energy -5.9614 eV/atom, M_tot 0.00 μB per cell. Number 10: D(E_F) 2.22 states/eV/cell, DFT total energy -6.4240 eV/atom, M_tot 0.00 μB per cell. Number 11: D(E_F) 6.54 states/eV/cell, DFT total energy -2.7785 eV/atom, M_tot 0.00 μB per cell. Number 12: D(E_F) 4.20 states/eV/cell, DFT total energy -6.7844 eV/atom, M_tot 0.31 μB per cell.